This record from Alexandria describes crystalline Ce5Si2Sn at its relaxed geometry. The functional is PBE.

Cell: 5.181 9.496 16.974 Å, 90.00 90.00 90.00°
Space group Cmcm (No. 63)
Unique sites:
Ce1 0.000 0.066 0.069 [8 per cell]
Ce2 0.000 0.267 0.750 [4 per cell]
Ce3 0.000 0.409 0.097 [8 per cell]
Si1 0.000 0.266 0.573 [8 per cell]
Sn1 0.000 0.057 0.250 [4 per cell]

The crystal system is orthorhombic. The value obtained for the formation energy from raw total energies is -40.5 kJ per mole of atoms. The calculated total energy is -47.88 eV per formula unit. The relative energy among the computed polymorphs comes out at 114.7 meV per atom.